Entry 1:
This record from the Alexandria database describes a relaxed SnHPd4 crystal. The functional is PBE.

## Properties
total DFT energy (no corrections): -4.951 eV/atom
ρ: 9.87 g cm⁻³
M_tot: 0.00 μB/f.u.
V: 91.7 Å³/cell

```
data_SnHPd4
_chemical_formula_sum 'Sn1 H1 Pd4'
_cell_length_a 4.024
_cell_length_b 3.984
_cell_length_c 6.062
_cell_angle_alpha 90.00
_cell_angle_beta 109.28
_cell_angle_gamma 90.00
_space_group_name_H-M_alt 'P 1 m 1'
_space_group_IT_number 6
loop_
_space_group_symop_operation_xyz
'x,y,z'
'x,-y,z'
loop_
_atom_site_label
_atom_site_fract_x
_atom_site_fract_y
_atom_site_fract_z
_atom_site_occupancy
Sn1 0.000 0.000 0.000 1
H1 0.348 0.500 0.668 1
Pd1 0.159 0.500 0.314 1
Pd2 0.340 0.000 0.678 1
Pd3 0.657 0.000 0.311 1
Pd4 0.840 0.500 0.677 1
```

=====

Entry 2:
This record from the Alexandria database describes a relaxed SnH4Pd8 crystal. The functional is PBE.

## Properties
total DFT energy (no corrections): -4.523 eV/atom
ρ: 8.99 g cm⁻³
M_tot: 0.00 μB/f.u.
V: 539.5 Å³/cell

```
data_SnH4Pd8
_chemical_formula_sum 'Sn3 H12 Pd24'
_cell_length_a 5.6769
_cell_length_b 5.6769
_cell_length_c 19.3310
_cell_angle_alpha 90.00
_cell_angle_beta 90.00
_cell_angle_gamma 120.00
_space_group_name_H-M_alt 'R -3 m'
_space_group_IT_number 166
_space_group_name_Hall '-R 3 2"'
loop_
_atom_site_label
_atom_site_fract_x
_atom_site_fract_y
_atom_site_fract_z
_atom_site_occupancy
Sn1 0.0000 0.0000 0.0000 1
H1 0.0000 0.0000 0.5000 1
H2 0.0000 0.5000 0.5000 1
Pd1 0.0000 0.0000 0.2350 1
Pd2 0.0017 0.5009 0.2272 1
```

=====

Entry 3:
This record from the Alexandria database describes a relaxed Sn3H2Pd7 crystal. The functional is PBE.

## Properties
total DFT energy (no corrections): -4.970 eV/atom
ρ: 10.47 g cm⁻³
M_tot: 0.00 μB/f.u.
V: 349.8 Å³/cell

```
data_Sn3H2Pd7
_chemical_formula_sum 'Sn6 H4 Pd14'
_cell_length_a 4.156
_cell_length_b 21.303
_cell_length_c 3.951
_cell_angle_alpha 90.00
_cell_angle_beta 90.00
_cell_angle_gamma 90.00
_space_group_name_H-M_alt 'C m m m'
_space_group_IT_number 65
_space_group_name_Hall '-C 2 2'
loop_
_atom_site_label
_atom_site_fract_x
_atom_site_fract_y
_atom_site_fract_z
_atom_site_occupancy
Sn1 0.000 0.000 0.000 1
Sn2 0.000 0.192 0.000 1
H1 0.000 0.407 0.500 1
Pd1 0.000 0.097 0.500 1
Pd2 0.000 0.297 0.500 1
Pd3 0.000 0.401 0.000 1
Pd4 0.000 0.500 0.500 1
```